[1]
DFT (GGA-PBE) results for crystalline In2HgPb8 at its relaxed geometry.

space group = C2/m (12)
ΔE_f = 0.011 eV/atom
total moment = 0.00 μB/cell

```
In2HgPb8
1.0
4.851 0.000 0.000
0.000 8.001 0.361
-2.425 -3.007 8.433
Pb In Hg
8 2 1
Direct
0.405 0.544 0.811 Pb
0.595 0.456 0.189 Pb
0.956 0.271 0.911 Pb
0.318 0.094 0.637 Pb
0.682 0.906 0.363 Pb
0.135 0.179 0.271 Pb
0.865 0.821 0.729 Pb
0.044 0.729 0.089 Pb
0.228 0.635 0.457 In
0.772 0.365 0.543 In
0.500 0.000 0.000 Hg
```

---

[2]
DFT (GGA-PBE) results for crystalline MgZnRe4 at its relaxed geometry.

space group = F-43m (216)
ΔE_f = 0.411 eV/atom
total moment = 0.00 μB/cell

```
MgZnRe4
1.0
0.000 3.691 3.691
3.691 0.000 3.691
3.691 3.691 0.000
Zn Mg Re
1 1 4
Direct
0.750 0.750 0.750 Zn
0.000 0.000 0.000 Mg
0.375 0.874 0.375 Re
0.874 0.375 0.375 Re
0.375 0.375 0.874 Re
0.375 0.375 0.375 Re
```

---

Question: Look up the total moment of the second one.
Answer: 0.00 μB/cell

---

Question: Look up the ΔE_f of the second one.
Answer: 0.411 eV/atom